[1]
# CrW2Se

An optimized crystal structure of CrW2Se (PBE, the Alexandria database).

Summary:
Density   12199 kg/m3
Formation energy from raw total energies   3.08 eV per formula unit

a = 10.0402 Å, b = 10.0402 Å, c = 10.0402 Å
α = 158.51°, β = 158.51°, γ = 30.58°
With the nearest neighbours (Å) after each atom.
Element x y z (fractional)
Cr: 0.0000 0.0000 0.0000  4 Se 2.65, 4 W 2.76
Cr: 0.7500 0.2500 0.5000  4 Se 2.65, 4 W 2.76
W: 0.1232 0.6250 0.9982  4 W 2.64-2.66, 2 Cr 2.76, 2 Se 2.76
W: 0.3750 0.3733 0.4982  4 W 2.64-2.66, 2 Cr 2.76, 2 Se 2.76
W: 0.6268 0.1250 0.0018  4 W 2.64-2.66, 2 Cr 2.76, 2 Se 2.76
W: 0.8750 0.8768 0.5018  4 W 2.64-2.66, 2 Cr 2.76, 2 Se 2.76
Se: 0.2500 0.7500 0.5000  4 Cr 2.65, 4 W 2.76
Se: 0.5000 0.5000 0.0000  4 Cr 2.65, 4 W 2.76

***

[2]
# CrW2Se

An optimized crystal structure of CrW2Se (PBE, the Alexandria database).

Summary:
Density   13290 kg/m3
Formation energy from raw total energies   2.38 eV per formula unit

a = 5.1973 Å, b = 5.1973 Å, c = 5.1973 Å
α = 137.94°, β = 137.94°, γ = 60.99°
With the nearest neighbours (Å) after each atom.
Element x y z (fractional)
Cr: 0.0000 0.0000 0.0000  4 Se 2.64, 8 W 2.91
W: 0.2500 0.7500 0.5000  4 W 2.64, 4 Cr 2.91, 4 Se 2.91
W: 0.7500 0.2500 0.5000  4 W 2.64, 4 Cr 2.91, 4 Se 2.91
Se: 0.5000 0.5000 0.0000  4 Cr 2.64, 8 W 2.91

***

[3]
# CrW3Se

An optimized crystal structure of CrW3Se (PBE, the Alexandria database).

Summary:
Energy relative to the lowest polymorph listed for this composition   0.265 eV/atom
Density   12060 kg/m3
Formation energy from raw total energies   9.72 eV per formula unit

a = 4.5463 Å, b = 4.5463 Å, c = 4.5463 Å
α = 90.00°, β = 90.00°, γ = 90.00°
With the nearest neighbours (Å) after each atom.
Element x y z (fractional)
Cr: 0.0000 0.0000 0.0000  12 W 3.21
W: 0.0000 0.5000 0.5000  2 Se 2.27
W: 0.5000 0.0000 0.5000  2 Se 2.27
W: 0.5000 0.5000 0.0000  2 Se 2.27
Se: 0.5000 0.5000 0.5000  6 W 2.27

***

[4]
# CrW2Se

An optimized crystal structure of CrW2Se (PBE, the Alexandria database).

Summary:
Density   13331 kg/m3
Formation energy from raw total energies   2.08 eV per formula unit

a = 8.2702 Å, b = 8.2702 Å, c = 8.2702 Å
α = 20.74°, β = 20.74°, γ = 20.74°
With the nearest neighbours (Å) after each atom.
Element x y z (fractional)
Cr: 0.0000 0.0000 0.0000  6 W 2.59
W: 0.2537 0.2537 0.2537  3 Cr 2.59, 3 Se 2.72
W: 0.7463 0.7463 0.7463  3 Cr 2.59, 3 Se 2.72
Se: 0.5000 0.5000 0.5000  6 W 2.72, 6 Se 2.98

***

[5]
# CrWSe2

An optimized crystal structure of CrWSe2 (PBE, the Alexandria database).

Summary:
Energy relative to the lowest polymorph listed for this composition   0.000 eV/atom
Density   7203 kg/m3
Formation energy from raw total energies   -0.70 eV per formula unit

a = 3.4609 Å, b = 3.8633 Å, c = 6.7888 Å
α = 90.00°, β = 90.08°, γ = 90.00°
With the nearest neighbours (Å) after each atom.
Element x y z (fractional)
Cr: 0.0000 0.0000 0.0000  4 Se 2.49-2.58, 4 W 2.60
W: 0.4999 0.5000 0.0160  4 Se 2.51-2.56, 4 Cr 2.60
Se: 0.5007 0.0000 0.2633  2 Cr 2.49, 2 W 2.56
Se: 0.9992 0.5000 0.7490  2 W 2.51, 2 Cr 2.58

***

[6]
# CrW2Se

An optimized crystal structure of CrW2Se (PBE, the Alexandria database).

Summary:
Density   13302 kg/m3
Formation energy from raw total energies   1.84 eV per formula unit

a = 4.8708 Å, b = 4.8708 Å, c = 4.4557 Å
α = 100.72°, β = 100.72°, γ = 36.91°
With the nearest neighbours (Å) after each atom.
Element x y z (fractional)
Cr: 0.0000 0.0000 0.0000  4 Se 2.71, 6 W 2.74-2.79
W: 0.2521 0.2521 0.7636  4 W 2.62-2.80, 3 Cr 2.74-2.79, 3 Se 2.77-2.85
W: 0.7479 0.7479 0.2364  4 W 2.62-2.80, 3 Cr 2.74-2.79, 3 Se 2.77-2.85
Se: 0.5000 0.5000 0.5000  4 Cr 2.71, 6 W 2.77-2.85

***

[7]
# CrWSe2

An optimized crystal structure of CrWSe2 (PBE, the Alexandria database).

Summary:
Energy relative to the lowest polymorph listed for this composition   0.432 eV/atom
Density   9984 kg/m3
Formation energy from raw total energies   1.03 eV per formula unit

a = 3.1890 Å, b = 3.1890 Å, c = 6.4395 Å
α = 90.00°, β = 90.00°, γ = 90.00°
With the nearest neighbours (Å) after each atom.
Element x y z (fractional)
Cr: 0.0000 0.0000 0.0000  8 Se 2.81
W: 0.0000 0.0000 0.5000  8 Se 2.73
Se: 0.5000 0.5000 0.2601  4 W 2.73, 4 Cr 2.81
Se: 0.5000 0.5000 0.7399  4 W 2.73, 4 Cr 2.81

***

[8]
# Cr3WSe

An optimized crystal structure of Cr3WSe (PBE, the Alexandria database).

Summary:
Energy relative to the lowest polymorph listed for this composition   0.241 eV/atom
Density   6475 kg/m3
Formation energy from raw total energies   7.31 eV per formula unit

a = 4.7534 Å, b = 4.7534 Å, c = 4.7534 Å
α = 90.00°, β = 90.00°, γ = 90.00°
With the nearest neighbours (Å) after each atom.
Element x y z (fractional)
Cr: 0.0000 0.0000 0.5000  2 W 2.38
Cr: 0.0000 0.5000 0.0000  2 W 2.38
Cr: 0.5000 0.0000 0.0000  2 W 2.38
W: 0.0000 0.0000 0.0000  6 Cr 2.38
Se: 0.5000 0.5000 0.5000  12 Cr 3.36

***

[9]
# CrW2Se

An optimized crystal structure of CrW2Se (PBE, the Alexandria database).

Summary:
Density   13153 kg/m3
Formation energy from raw total energies   2.34 eV per formula unit

a = 2.7808 Å, b = 2.7808 Å, c = 8.8185 Å
α = 90.00°, β = 90.00°, γ = 112.61°
With the nearest neighbours (Å) after each atom.
Element x y z (fractional)
Cr: 0.0000 0.0000 0.0000  4 W 2.54, 4 Cr 2.78
W: 0.5000 0.5000 0.2285  2 Cr 2.54, 4 W 2.78
W: 0.5000 0.5000 0.7715  2 Cr 2.54, 4 W 2.78
Se: 0.0000 0.0000 0.5000  6 Se 2.78-3.09, 4 W 2.85

***

[10]
# CrWSe2

An optimized crystal structure of CrWSe2 (PBE, the Alexandria database).

Summary:
Energy relative to the lowest polymorph listed for this composition   0.745 eV/atom
Density   8731 kg/m3
Formation energy from raw total energies   2.28 eV per formula unit

a = 3.2992 Å, b = 4.0098 Å, c = 5.6837 Å
α = 90.00°, β = 95.16°, γ = 90.00°
With the nearest neighbours (Å) after each atom.
Element x y z (fractional)
Cr: 0.0000 0.0000 0.0000  4 Se 2.62
W: 0.5000 0.0000 0.5000  4 Se 2.51
Se: 0.3355 0.5000 0.2427  2 W 2.51, 2 Cr 2.62
Se: 0.6645 0.5000 0.7573  2 W 2.51, 2 Cr 2.62

***

[11]
# CrW2Se

An optimized crystal structure of CrW2Se (PBE, the Alexandria database).

Summary:
Density   13505 kg/m3
Formation energy from raw total energies   1.67 eV per formula unit

a = 2.9191 Å, b = 4.4130 Å, c = 4.9739 Å
α = 90.00°, β = 106.89°, γ = 90.00°
With the nearest neighbours (Å) after each atom.
Element x y z (fractional)
Cr: 0.0000 0.0000 0.0000  2 Se 2.44, 2 W 2.44-2.55
W: 0.3251 0.5000 0.7571  3 Se 2.59-2.63, 2 W 2.70, 2 Cr 2.81
W: 0.5408 0.0000 0.5049  2 Cr 2.44-2.55, 2 W 2.70
Se: 0.0427 0.5000 0.2137  2 Cr 2.44, 3 W 2.59-2.63

***

[12]
# CrWSe2

An optimized crystal structure of CrWSe2 (PBE, the Alexandria database).

Summary:
Energy relative to the lowest polymorph listed for this composition   0.259 eV/atom
Density   8150 kg/m3
Formation energy from raw total energies   0.34 eV per formula unit

a = 3.3114 Å, b = 3.3114 Å, c = 7.3166 Å
α = 90.00°, β = 90.00°, γ = 90.00°
With the nearest neighbours (Å) after each atom.
Element x y z (fractional)
Cr: 0.0000 0.0000 0.0000  5 Se 2.51-2.70, 4 W 2.60
W: 0.5000 0.5000 0.8448  5 Se 2.49-2.72, 4 Cr 2.60
Se: 0.0000 0.0000 0.6563  1 Cr 2.51, 4 W 2.72
Se: 0.5000 0.5000 0.1844  1 W 2.49, 4 Cr 2.70

***

Q: Which value of formation energy from raw total energies does entry 8 give?
A: 7.31 eV per formula unit

***

Please write out number 2 again, unchanged.
# CrW2Se

An optimized crystal structure of CrW2Se (PBE, the Alexandria database).

Summary:
Density   13290 kg/m3
Formation energy from raw total energies   2.38 eV per formula unit

a = 5.1973 Å, b = 5.1973 Å, c = 5.1973 Å
α = 137.94°, β = 137.94°, γ = 60.99°
With the nearest neighbours (Å) after each atom.
Element x y z (fractional)
Cr: 0.0000 0.0000 0.0000  4 Se 2.64, 8 W 2.91
W: 0.2500 0.7500 0.5000  4 W 2.64, 4 Cr 2.91, 4 Se 2.91
W: 0.7500 0.2500 0.5000  4 W 2.64, 4 Cr 2.91, 4 Se 2.91
Se: 0.5000 0.5000 0.0000  4 Cr 2.64, 8 W 2.91